Below is a geometry-optimized AlH2F structure, with properties calculated at the PBE-GGA level.

```
AlH2F
1.0
2.589 -0.457 0.000
-1.952 4.065 0.000
0.000 0.000 8.599
H F Al
4 2 2
Direct
0.512 0.254 0.115
0.488 0.746 0.615
0.488 0.746 0.885
0.512 0.254 0.385
0.512 0.754 0.250
0.488 0.246 0.750
0.988 0.746 0.750
0.012 0.254 0.250
```

The space group is No. 11. The density is 1.92 Mg/m³. The value obtained for the energy above the most stable polymorph in this dataset is 18 meV/atom.

Below is a geometry-optimized AlHF4 structure, with properties calculated at the PBE-GGA level.

```
AlHF4
1.0
-0.155 1.390 3.331
3.203 -5.358 0.426
4.335 3.731 -1.356
F H Al
8 2 2
Direct
0.122 0.245 0.997
0.743 0.485 0.311
0.598 0.196 0.683
0.054 0.109 0.352
0.257 0.515 0.689
0.402 0.804 0.317
0.878 0.755 0.003
0.946 0.891 0.648
0.898 0.796 0.842
0.102 0.204 0.158
0.884 0.768 0.324
0.116 0.232 0.676
```

The space group is No. 12. The density is 2.76 Mg/m³. The value obtained for the energy above the most stable polymorph in this dataset is 90 meV/atom.

Below is a geometry-optimized KAl2P2H8O12F structure, with properties calculated at the PBE-GGA level.

```
KAl2P2H8O12F
1.0
-0.317 2.625 -4.927
-9.125 -2.316 -0.646
-2.441 8.335 4.599
O P H Al F K
24 4 16 4 2 2
Direct
0.528 0.684 0.794
0.528 0.816 0.294
0.281 0.927 0.751
0.859 0.208 0.533
0.281 0.573 0.251
0.528 0.316 0.206
0.318 0.238 0.956
0.281 0.427 0.749
0.964 0.709 0.717
0.318 0.738 0.544
0.859 0.292 0.033
0.281 0.073 0.249
0.964 0.209 0.783
0.318 0.262 0.456
0.820 0.016 0.320
0.528 0.184 0.706
0.859 0.792 0.467
0.820 0.516 0.180
0.859 0.708 0.967
0.964 0.291 0.283
0.820 0.984 0.680
0.318 0.762 0.044
0.820 0.484 0.820
0.964 0.791 0.217
0.794 0.147 0.675
0.794 0.647 0.825
0.794 0.853 0.325
0.794 0.353 0.175
0.431 0.285 0.381
0.400 0.648 0.273
0.408 0.225 0.536
0.431 0.715 0.619
0.400 0.852 0.773
0.400 0.148 0.227
0.408 0.725 0.964
0.371 0.985 0.273
0.408 0.275 0.036
0.371 0.485 0.227
0.371 0.515 0.773
0.371 0.015 0.727
0.431 0.785 0.119
0.408 0.775 0.464
0.431 0.215 0.881
0.400 0.352 0.727
0.043 0.140 0.389
0.043 0.860 0.611
0.043 0.640 0.111
0.043 0.360 0.889
0.178 0.500 0.000
0.178 0.000 0.500
0.004 0.000 0.000
0.004 0.500 0.500
```

The space group is No. 32. The density is 2.40 Mg/m³. As for the total energy: -315.9 eV for the cell shown.

Below is a geometry-optimized Li3Al3P3H2O14F structure, with properties calculated at the PBE-GGA level.

```
Li3Al3P3H2O14F
1.0
-3.743 2.992 1.719
-2.544 -3.291 -5.836
-3.905 -10.933 8.206
O Al H P F Li
28 6 4 6 2 6
Direct
0.301 0.167 0.939
0.967 0.835 0.606
0.224 0.871 0.446
0.592 0.328 0.436
0.632 0.497 0.273
0.026 0.169 0.395
0.916 0.667 0.769
0.555 0.202 0.780
0.027 0.157 0.763
0.888 0.535 0.111
0.636 0.516 0.905
0.080 0.787 0.939
0.248 0.999 0.103
0.581 0.884 0.727
0.248 0.551 0.394
0.770 0.133 0.557
0.109 0.470 0.886
0.361 0.490 0.094
0.746 0.454 0.607
0.733 0.003 0.899
0.441 0.800 0.219
0.915 0.217 0.059
0.968 0.845 0.238
0.300 0.186 0.573
0.398 0.671 0.566
0.411 0.116 0.274
0.693 0.819 0.430
0.070 0.339 0.230
0.001 0.004 0.000
0.329 0.332 0.334
0.664 0.665 0.168
0.332 0.335 0.836
0.997 0.003 0.501
0.667 0.673 0.667
0.908 0.253 0.408
0.751 0.413 0.259
0.421 0.083 0.927
0.087 0.751 0.594
0.931 0.611 0.872
0.730 0.060 0.794
0.264 0.941 0.205
0.396 0.726 0.461
0.596 0.276 0.541
0.064 0.393 0.126
0.710 0.826 0.060
0.377 0.493 0.728
0.255 0.007 0.694
0.402 0.674 0.975
0.066 0.339 0.644
0.736 0.993 0.307
0.592 0.342 0.026
0.925 0.676 0.359
```

The space group is No. 1. The density is 2.94 Mg/m³. As for the total energy: -350.6 eV for the cell shown.

Below is a geometry-optimized MgAlH4O2F5 structure, with properties calculated at the PBE-GGA level.

```
MgAlH4O2F5
1.0
7.141 -0.011 -0.010
0.487 7.124 0.010
-3.510 -3.882 4.858
F Mg H O Al
10 2 8 4 2
Direct
0.168 0.313 0.733
0.750 0.072 0.322
0.332 0.065 0.145
0.080 0.935 0.267
0.580 0.313 0.145
0.420 0.687 0.855
0.832 0.687 0.267
0.920 0.065 0.733
0.668 0.935 0.855
0.250 0.928 0.678
0.500 0.500 0.000
0.000 0.000 0.000
0.298 0.785 0.270
0.702 0.215 0.730
0.514 0.785 0.486
0.798 0.528 0.514
0.202 0.472 0.486
0.486 0.215 0.514
0.014 0.528 0.730
0.986 0.472 0.270
0.927 0.633 0.707
0.073 0.367 0.293
0.427 0.720 0.293
0.573 0.280 0.707
0.000 0.000 0.500
0.500 0.000 0.000
```

The space group is No. 74. The density is 2.45 Mg/m³. As for the total energy: -138.4 eV for the cell shown.

Which DOS at the Fermi energy belongs to each record? In order, 0.000; 0.000; 0.000; 0.000; 0.000 states/eV per cell.